# 1
The following is a DFT calculation (GGA-PBE) of an optimized crystal structure of Tb2PuTl3Se6.

Cell lengths 7.320, 7.320, 8.107 Å; angles 98.65, 98.65, 120.00 degrees
Sites, in units of the cell vectors:
Tb: 0.167 0.833 0.000
Tb: 0.833 0.167 0.000
Pu: 0.500 0.500 0.000
Tl: 0.000 0.000 0.500
Tl: 0.333 0.667 0.500
Tl: 0.667 0.333 0.500
Se: 0.096 0.432 0.795
Se: 0.233 0.233 0.205
Se: 0.432 0.096 0.795
Se: 0.568 0.904 0.205
Se: 0.767 0.767 0.795
Se: 0.904 0.568 0.205

Space-group type: C2/m, No. 12
Total moment in μB/cell: 5.00
Formation energy without anion corrections in meV per atom: -1282
V in Å³ per cell: 358.7

=====

# 2
The following is a DFT calculation (GGA-PBE) of an optimized crystal structure of TbPu3Tl4Se8.

Cell lengths 9.135, 9.135, 9.135 Å; angles 55.26, 55.26, 55.26 degrees
Sites, in units of the cell vectors:
Tb: 0.000 0.000 0.000
Pu: 0.000 0.500 0.500
Pu: 0.500 0.000 0.500
Pu: 0.500 0.500 0.000
Tl: 0.000 0.000 0.500
Tl: 0.000 0.500 0.000
Tl: 0.500 0.000 0.000
Tl: 0.500 0.500 0.500
Se: 0.234 0.234 0.736
Se: 0.234 0.736 0.234
Se: 0.264 0.766 0.766
Se: 0.266 0.266 0.266
Se: 0.734 0.734 0.734
Se: 0.736 0.234 0.234
Se: 0.766 0.264 0.766
Se: 0.766 0.766 0.264

Space-group type: R-3m, No. 166
Total moment in μB/cell: 15.00
Formation energy without anion corrections in meV per atom: -1176
V in Å³ per cell: 479.6

=====

# 3
The following is a DFT calculation (GGA-PBE) of an optimized crystal structure of Tb3Tm3PuSe8.

Cell lengths 8.110, 8.110, 8.110 Å; angles 59.89, 59.89, 59.89 degrees
Sites, in units of the cell vectors:
Tb: 0.000 0.500 0.500
Tb: 0.500 0.000 0.500
Tb: 0.500 0.500 0.000
Tm: 0.000 0.000 0.500
Tm: 0.000 0.500 0.000
Tm: 0.500 0.000 0.000
Pu: 0.500 0.500 0.500
Se: 0.238 0.757 0.757
Se: 0.243 0.243 0.762
Se: 0.243 0.762 0.243
Se: 0.248 0.248 0.248
Se: 0.752 0.752 0.752
Se: 0.757 0.238 0.757
Se: 0.757 0.757 0.238
Se: 0.762 0.243 0.243

Space-group type: R-3m, No. 166
Total moment in μB/cell: 6.24
Formation energy without anion corrections in meV per atom: -1760
V in Å³ per cell: 376.2